Entry 1:
Below is a relaxed MgFeAsBr2 crystal, with properties calculated at the PBE level.

Values from the calculation:
- Fermi-level density of states (states/eV per cell) = 6.77
- distance to the lowest polymorph of the same formula (meV/atom) = 386
- total moment (μB/f.u.) = 0.00
- formation energy (no corrections) (eV/atom) = 0.508
- total DFT energy (no corrections) (eV/atom) = -3.10
- crystal system = tetragonal

```
5
Lattice="4.5672 0.0000 0.0000 0.0000 4.5672 0.0000 0.0000 0.0000 5.7217" Properties=species:S:1:pos:R:3 pbc="T T T"
Mg 0.0000 0.0000 0.0000
Fe 0.0000 0.0000 2.8608
As 2.2836 2.2836 0.0000
Br 0.0000 2.2836 2.8608
Br 2.2836 0.0000 2.8608
```



Entry 2:
Below is a relaxed KPdICl2 crystal, with properties calculated at the PBE level.

Values from the calculation:
- Fermi-level density of states (states/eV per cell) = 1.66
- total moment (μB/f.u.) = 0.00
- formation energy (no corrections) (eV/atom) = -0.892
- total DFT energy (no corrections) (eV/atom) = -3.20
- crystal system = tetragonal

```
5
Lattice="5.0452 0.0000 0.0000 0.0000 5.0452 0.0000 0.0000 0.0000 5.5265" Properties=species:S:1:pos:R:3 pbc="T T T"
K 0.0000 0.0000 0.0000
Pd 2.5226 2.5226 2.7633
I 2.5226 2.5226 0.0000
Cl 0.0000 2.5226 2.7633
Cl 2.5226 0.0000 2.7633
```



Entry 3:
Below is a relaxed KLaSeBr2 crystal, with properties calculated at the PBE level.

Values from the calculation:
- Fermi-level density of states (states/eV per cell) = 0.00
- distance to the lowest polymorph of the same formula (meV/atom) = 0
- total moment (μB/f.u.) = 0.00
- formation energy (no corrections) (eV/atom) = -1.736
- total DFT energy (no corrections) (eV/atom) = -4.31
- crystal system = tetragonal

```
5
Lattice="5.9562 0.0000 0.0000 0.0000 5.9562 0.0000 0.0000 0.0000 5.7346" Properties=species:S:1:pos:R:3 pbc="T T T"
K 0.0000 0.0000 0.0000
La 2.9781 2.9781 2.8673
Se 2.9781 2.9781 0.0000
Br 0.0000 2.9781 2.8673
Br 2.9781 0.0000 2.8673
```



Entry 4:
Below is a relaxed Nd3B2C3 crystal, with properties calculated at the PBE level.

Values from the calculation:
- Fermi-level density of states (states/eV per cell) = 5.59
- formation enthalpy at 0 K (eV per formula unit) = 0.46
- total moment (μB/f.u.) = 0.00
- total DFT energy (no corrections) (eV/atom) = -6.86
- crystal system = orthorhombic

```
16
Lattice="1.4881 -5.2386 0.0000 1.4881 5.2386 0.0000 0.0000 0.0000 15.0497" Properties=species:S:1:pos:R:3 pbc="T T T"
Nd 1.4881 3.9454 9.0713
Nd 1.4881 3.9454 13.5033
Nd 1.4881 1.3337 11.2873
Nd 1.4881 -1.3337 3.7624
Nd 1.4881 -3.9454 1.5464
Nd 1.4881 -3.9454 5.9784
B 1.4881 3.7865 1.2919
B 1.4881 3.7865 6.2329
B 1.4881 -3.7865 8.8168
B 1.4881 -3.7865 13.7578
C 1.4881 1.5030 3.7624
C 1.4881 1.2236 8.6041
C 1.4881 1.2236 13.9705
C 1.4881 -1.2236 1.0793
C 1.4881 -1.2236 6.4456
C 1.4881 -1.5030 11.2873
```



Entry 5:
Below is a relaxed ZrCrRe2 crystal, with properties calculated at the PBE level.

Values from the calculation:
- Fermi-level density of states (states/eV per cell) = 3.21
- distance to the lowest polymorph of the same formula (meV/atom) = 108
- formation enthalpy at 0 K (eV per formula unit) = 0.35
- total moment (μB/f.u.) = 0.00
- total DFT energy (no corrections) (eV/atom) = -10.68
- crystal system = monoclinic

```
4
Lattice="2.7089 -4.4603 0.0000 2.7089 4.4603 0.0000 -0.9555 0.0000 2.5921" Properties=species:S:1:pos:R:3 pbc="T T T"
Zr 0.0000 0.0000 0.0000
Cr 2.7089 0.0000 0.0000
Re 0.8767 2.2302 1.2960
Re 0.8767 -2.2302 1.2960
```



Entry 6:
Below is a relaxed Pm5Sm4Hg crystal, with properties calculated at the PBE level.

Values from the calculation:
- Fermi-level density of states (states/eV per cell) = 12.52
- formation enthalpy at 0 K (eV per formula unit) = -0.82
- total moment (μB/f.u.) = 0.00
- total DFT energy (no corrections) (eV/atom) = -4.38
- crystal system = tetragonal

```
10
Lattice="3.6686 0.0000 0.0000 0.0000 3.6686 0.0000 0.0000 0.0000 24.4461" Properties=species:S:1:pos:R:3 pbc="T T T"
Pm 0.0000 0.0000 0.0000
Pm 0.0000 0.0000 5.1064
Pm 0.0000 0.0000 10.1862
Pm 0.0000 0.0000 14.2599
Pm 0.0000 0.0000 19.3397
Sm 1.8343 1.8343 2.5507
Sm 1.8343 1.8343 7.6464
Sm 1.8343 1.8343 16.7997
Sm 1.8343 1.8343 21.8953
Hg 1.8343 1.8343 12.2230
```